This record from Alexandria via LeMat-Bulk describes HfMn3Si at its PBEsol-relaxed geometry. The functional is meta-GGA SCAN.

```
5
Lattice="4.202 0.000 0.000 0.000 4.202 0.000 0.000 0.000 4.202" Properties=species:S:1:pos:R:3 pbc="T T T"
Hf 0.000 0.000 0.000
Mn 0.000 2.101 2.101
Mn 2.101 0.000 2.101
Mn 2.101 2.101 0.000
Si 2.101 2.101 2.101
```



This record from Alexandria via LeMat-Bulk describes Hf2MnSi2 at its PBEsol-relaxed geometry. The functional is meta-GGA SCAN.

```
10
Lattice="6.252 0.000 0.000 0.000 6.252 0.000 0.000 0.000 3.965" Properties=species:S:1:pos:R:3 pbc="T T T"
Hf 1.082 2.044 0.000
Hf 2.044 5.169 0.000
Hf 4.208 1.082 0.000
Hf 5.169 4.208 0.000
Mn 0.000 0.000 1.982
Mn 3.126 3.126 1.982
Si 0.849 3.975 1.982
Si 2.277 0.849 1.982
Si 3.975 5.403 1.982
Si 5.403 2.277 1.982
```



This record from Alexandria via LeMat-Bulk describes Sr3HfMn at its PBEsol-relaxed geometry. The functional is meta-GGA SCAN.

```
5
Lattice="5.719 0.000 0.000 0.000 5.719 0.000 0.000 0.000 5.719" Properties=species:S:1:pos:R:3 pbc="T T T"
Sr 0.000 0.000 2.860
Sr 0.000 2.860 0.000
Sr 2.860 0.000 0.000
Hf 2.860 2.860 2.860
Mn 0.000 0.000 0.000
```

energy of formation from the pure elements	5.1	eV/f.u.
energy relative to the lowest polymorph listed for this composition	0.0	meV/atom



This record from Alexandria via LeMat-Bulk describes Sr3HfMn at its PBEsol-relaxed geometry. The functional is meta-GGA SCAN.

```
5
Lattice="5.953 0.000 0.000 0.000 5.953 0.000 0.000 0.000 5.953" Properties=species:S:1:pos:R:3 pbc="T T T"
Sr 0.000 0.000 2.976
Sr 0.000 2.976 0.000
Sr 2.976 0.000 0.000
Hf 0.000 0.000 0.000
Mn 2.976 2.976 2.976
```

energy of formation from the pure elements	5.8	eV/f.u.
energy relative to the lowest polymorph listed for this composition	137.4	meV/atom



This record from Alexandria via LeMat-Bulk describes HfTi2MnTc at its PBEsol-relaxed geometry. The functional is meta-GGA SCAN.

```
5
Lattice="4.610 0.000 0.000 0.000 4.610 0.000 0.000 0.000 4.932" Properties=species:S:1:pos:R:3 pbc="T T T"
Hf 0.000 0.000 0.000
Ti 0.000 2.305 2.466
Ti 2.305 0.000 2.466
Mn 2.305 2.305 0.000
Tc 0.000 0.000 2.466
```

energy of formation from the pure elements	2.5	eV/f.u.



This record from Alexandria via LeMat-Bulk describes HfTiMn3 at its PBEsol-relaxed geometry. The functional is meta-GGA SCAN.

```
5
Lattice="4.537 0.000 0.000 0.000 4.537 0.000 0.000 0.000 4.537" Properties=species:S:1:pos:R:3 pbc="T T T"
Hf 0.000 0.000 0.000
Ti 2.269 2.269 2.269
Mn 0.000 0.000 2.269
Mn 0.000 2.269 0.000
Mn 2.269 0.000 0.000
```

energy of formation from the pure elements	5.4	eV/f.u.



This record from Alexandria via LeMat-Bulk describes HfMnZn3 at its PBEsol-relaxed geometry. The functional is meta-GGA SCAN.

```
5
Lattice="5.001 0.000 0.000 0.000 5.001 0.000 0.000 0.000 5.001" Properties=species:S:1:pos:R:3 pbc="T T T"
Hf 0.000 0.000 0.000
Mn 2.501 2.501 2.501
Zn 0.000 0.000 2.501
Zn 0.000 2.501 0.000
Zn 2.501 0.000 0.000
```

energy of formation from the pure elements	5.7	eV/f.u.



This record from Alexandria via LeMat-Bulk describes HfMo2 at its PBEsol-relaxed geometry. The functional is meta-GGA SCAN.

```
24
Lattice="5.304 0.000 0.000 -2.652 4.593 0.000 0.000 0.000 17.207" Properties=species:S:1:pos:R:3 pbc="T T T"
Hf 0.000 0.000 1.631
Hf 0.000 0.000 6.973
Hf 0.000 0.000 10.234
Hf 0.000 0.000 15.577
Hf 0.000 3.062 2.690
Hf 0.000 3.062 5.914
Hf 2.652 1.531 11.294
Hf 2.652 1.531 14.517
Mo -1.326 2.297 0.000
Mo -1.326 2.297 8.604
Mo 0.000 1.501 12.906
Mo -1.352 3.843 12.906
Mo 1.300 0.751 4.302
Mo 0.000 3.062 10.732
Mo 0.000 3.062 15.079
Mo 2.652 0.000 0.000
Mo 2.652 0.000 8.604
Mo 1.326 2.297 0.000
Mo 1.326 2.297 8.604
Mo 2.652 1.531 2.129
Mo 2.652 1.531 6.475
Mo 1.352 3.843 12.906
Mo 4.004 0.751 4.302
Mo 2.652 3.092 4.302
```

energy of formation from the pure elements	-0.5	eV/f.u.
energy relative to the lowest polymorph listed for this composition	9.3	meV/atom



Let's list energy in order: -0.9278 -1.2294 -1.0486 -1.0435 -1.0699 -0.9415 -0.8511 -1.6281 hartree per atom.
Let's list Fermi-level density of states in order: 4.5 5.3 5.7 5.8 4.4 3.9 3.9 12.9 states/eV/cell.